First-principles (PBE) data for a relaxed LaRuO5 crystal, as listed in Alexandria via LeMat-Bulk.

Structure (POSCAR):
```
LaRuO5
1.0
4.387 0.000 0.000
0.000 7.943 0.000
0.000 0.000 7.943
La Ru O
2 2 10
Direct
0.245 0.500 0.000 La
0.755 0.000 0.500 La
0.500 0.000 0.000 Ru
0.500 0.500 0.500 Ru
0.267 0.180 0.000 O
0.267 0.500 0.320 O
0.254 0.000 0.500 O
0.746 0.500 0.000 O
0.267 0.500 0.680 O
0.267 0.820 0.000 O
0.733 0.680 0.500 O
0.733 0.000 0.820 O
0.733 0.000 0.180 O
0.733 0.320 0.500 O
```

First-principles (PBE) data for a relaxed La3RuO6 crystal, as listed in Alexandria via LeMat-Bulk.

Structure (POSCAR):
```
La3RuO6
1.0
5.853 0.000 0.000
0.000 7.591 -0.007
0.000 -1.701 7.398
La Ru O
6 2 12
Direct
0.460 0.909 0.696 La
0.960 0.696 0.909 La
0.421 0.397 0.603 La
0.921 0.603 0.397 La
0.960 0.091 0.304 La
0.460 0.304 0.091 La
0.995 0.199 0.801 Ru
0.495 0.801 0.199 Ru
0.195 0.671 0.645 O
0.695 0.645 0.671 O
0.198 0.415 0.894 O
0.698 0.894 0.415 O
0.192 0.055 0.945 O
0.672 0.212 0.788 O
0.172 0.788 0.212 O
0.692 0.945 0.055 O
0.198 0.106 0.585 O
0.698 0.585 0.106 O
0.195 0.355 0.329 O
0.695 0.329 0.355 O
```

La2RuO6 (PBE, optimized geometry); distance to the lowest polymorph of the same formula = 0.000 eV/atom
1.0
5.534 0.000 -0.498
0.000 6.328 0.000
-0.039 0.000 7.627
La Ru O
4 2 12
Direct
0.966 0.404 0.749 La
0.534 0.904 0.751 La
0.466 0.096 0.249 La
0.034 0.596 0.251 La
0.500 0.500 0.000 Ru
0.000 0.000 0.500 Ru
0.869 0.951 0.261 O
0.871 0.729 0.566 O
0.798 0.647 0.948 O
0.702 0.147 0.552 O
0.629 0.229 0.934 O
0.631 0.451 0.239 O
0.131 0.049 0.739 O
0.129 0.271 0.434 O
0.202 0.353 0.052 O
0.298 0.853 0.448 O
0.371 0.771 0.066 O
0.369 0.549 0.761 O

First-principles (PBE) data for a relaxed LaRu2O6 crystal, as listed in Alexandria via LeMat-Bulk.

Structure (POSCAR):
```
LaRu2O6
1.0
5.174 0.000 0.000
0.000 4.570 -2.639
0.000 0.000 5.277
La Ru O
1 2 6
Direct
0.000 0.000 0.000 La
0.500 0.667 0.333 Ru
0.500 0.333 0.667 Ru
0.707 0.637 0.637 O
0.293 0.637 0.000 O
0.293 0.000 0.637 O
0.707 0.363 0.000 O
0.293 0.363 0.363 O
0.707 0.000 0.363 O
```

Density (g/cm3)
3.839; 6.203; 5.907; 5.816
Energy relative to the elements, uncorrected (eV per atom)
-1.60; -2.64; -2.32; -1.63